Compound: Na2FeH6
Source: Alexandria
Functional: GGA-PBE
Structure: optimized geometry

Calculated values
**Total magnetization**: 0.00 μB per formula unit
**E**: -31.7 eV/f.u.

Structure (POSCAR):
```
Na2FeH6
1.0
-1.5143 2.6001 4.7439
1.5143 -2.6001 4.7439
1.5143 2.6001 -4.7439
Na Fe H
2 1 6
Direct
0.1659 0.1659 0.0000 Na
0.8341 0.8341 0.0000 Na
0.5000 0.5000 0.0000 Fe
0.1747 0.3770 0.7977 H
0.3558 0.0000 0.3558 H
0.4208 0.6230 0.7977 H
0.5792 0.3770 0.2023 H
0.6442 0.0000 0.6442 H
0.8253 0.6230 0.2023 H
```